(1)
{
  "formula": "InGaBr3",
  "functional": "PBE-GGA",
  "state": "relaxed",
  "lattice": [[5.400, 0.000, 0.000], [0.000, 5.400, 0.000], [0.000, 0.000, 5.400]],
  "species": ["Br", "Br", "Br", "In", "Ga"],
  "frac_coords": [[0.000, 0.000, 0.500], [0.500, 0.000, 0.000], [0.000, 0.500, 0.000], [0.500, 0.500, 0.500], [0.000, 0.000, 0.000]],
  "e_form_raw_ev_per_atom": -0.602,
  "sg": "Pm-3m (221)",
  "m_tot_mub_per_cell": 0.000,
  "polymorph_energy_kj_per_mol_atoms": 14.6
}

=====

(2)
{
  "formula": "InGa2Br8",
  "functional": "PBE-GGA",
  "state": "relaxed",
  "lattice": [[6.702, -0.029, -0.025], [0.855, 8.194, 0.295], [0.855, 1.562, 8.049]],
  "species": ["Br", "Br", "Br", "Br", "Br", "Br", "Br", "Br", "Ga", "Ga", "In"],
  "frac_coords": [[0.759, 0.705, 0.074], [0.784, 0.622, 0.622], [0.241, 0.295, 0.926], [0.293, 0.806, 0.806], [0.216, 0.378, 0.378], [0.759, 0.074, 0.705], [0.241, 0.926, 0.295], [0.707, 0.194, 0.194], [0.652, 0.795, 0.795], [0.348, 0.205, 0.205], [0.000, 0.000, 0.000]],
  "e_form_raw_ev_per_atom": -0.764,
  "sg": "C2/m (12)",
  "m_tot_mub_per_cell": 0.001,
  "polymorph_energy_kj_per_mol_atoms": 0.0
}